Entry 1:
Compound: Ca2SnS4
Source: Alexandria via LeMat-Bulk
Functional: PBE
Structure: optimized geometry

Results
Final energy   -4.715 eV per atom
E above lowest polymorph   185 meV/atom
DOS(E_F)   0.0 states/eV per cell
E_form (uncorrected)   -1.213 eV/atom

Lattice parameters (Å, degrees): 8.498 7.126 13.052 90.00 90.00 90.00
Space group Pnma (No. 62)
Unique sites:
Ca1 0.102 0.250 0.153 x4
Ca2 0.117 0.750 0.433 x4
Sn1 0.214 0.750 0.025 x4
S1 0.057 0.250 0.929 x4
S2 0.143 0.505 0.604 x8
S3 0.227 0.750 0.842 x4

---

Entry 2:
Compound: CeP2Pd5
Source: Alexandria via LeMat-Bulk
Functional: PBE
Structure: optimized geometry

Results
Final energy   -6.059 eV per atom
E_form   -719 meV per atom
DOS(E_F)   19.5 states/eV per cell

Lattice parameters (Å, degrees): 4.109 7.052 9.302 90.00 90.00 90.00
Space group Immm (No. 71)
Unique sites:
Ce1 0.000 0.000 0.000 x2
P1 0.000 0.500 0.252 x4
Pd1 0.000 0.197 0.346 x8
Pd2 0.000 0.500 0.000 x2

---

Entry 3:
Compound: Nb2IrN
Source: Alexandria via LeMat-Bulk
Functional: PBE
Structure: optimized geometry

Results
Final energy   -9.930 eV per atom
DOS(E_F)   7.2 states/eV per cell
E_form (uncorrected)   -0.599 eV/atom

Lattice parameters (Å, degrees): 3.0796 3.0796 20.6391 90.00 90.00 120.00
Space group R-3m (No. 166, hexagonal axes)
Unique sites:
Nb1 0.0000 0.0000 0.2260 x6
Ir1 0.0000 0.0000 0.0000 x3
N1 0.0000 0.0000 0.5000 x3

---

Entry 4:
Compound: Na2RhI4
Source: Alexandria via LeMat-Bulk
Functional: PBE
Structure: optimized geometry

Results
Final energy   -2.929 eV per atom
DOS(E_F)   4.6 states/eV per cell
E_form (uncorrected)   -0.616 eV/atom

Lattice parameters (Å, degrees): 5.547 5.547 15.895 90.00 90.00 90.00
Space group I4/mmm (No. 139)
Unique sites:
Na1 0.000 0.000 0.129 x4
Rh1 0.000 0.000 0.500 x2
I1 0.000 0.000 0.330 x4
I2 0.000 0.500 0.000 x4

---

Entry 5:
Compound: TlZnSCl
Source: Alexandria via LeMat-Bulk
Functional: PBE
Structure: optimized geometry

Results
Final energy   -3.190 eV per atom
DOS(E_F)   0.0 states/eV per cell
E_form (uncorrected)   -0.786 eV/atom

Lattice parameters (Å, degrees): 3.9394 3.9394 7.6393 90.00 90.00 120.00
Space group P3m1 (No. 156)
Unique sites:
Tl1 0.0000 0.0000 0.0000 x1
Zn1 0.3333 0.6667 0.5796 x1
S1 0.6667 0.3333 0.6742 x1
Cl1 0.3333 0.6667 0.2692 x1

---

Entry 6:
Compound: AgCO2
Source: Alexandria via LeMat-Bulk
Functional: PBE
Structure: optimized geometry

Results
Final energy   -6.251 eV per atom
DOS(E_F)   0.0 states/eV per cell
E_form (uncorrected)   -0.753 eV/atom

Lattice parameters (Å, degrees): 4.010 5.946 9.977 90.00 109.13 90.00
Space group P2_1/c (No. 14)
Unique sites:
Ag1 0.145 0.007 0.151 x4
C1 0.396 0.611 0.001 x4
O1 0.174 0.673 0.884 x4
O2 0.466 0.710 0.120 x4